Entry 1:
Material: CuSi
Method: DFT, PBE
State: relaxed

The value obtained for the formation energy (no corrections) is 0.2081 eV per atom. The calculation puts the density of states at the Fermi level at 0.273 states/eV per atom. Its density is 5.2 g cm⁻³.

The space group is P6/mmm (No. 191) and the conventional cell measures 5.0436, 5.0436 and 3.9755 Å, with angles of 90.00, 90.00 and 120.00 degrees. The asymmetric unit holds Cu at (0.0000, 0.5000, 0.0000), Si at (0.0000, 0.0000, 0.0000) and Si at (0.3333, 0.6667, 0.5000).

Entry 2:
Material: MgNpOs2
Method: DFT, PBE
State: relaxed

The calculation puts the energy of formation from the pure elements at 166 meV per atom. The calculation puts the density of states at the Fermi level at 0.907 states/eV per atom. Its density is 15.4 g cm⁻³.

The space group is P4/mmm (No. 123) and the conventional cell measures 3.306, 3.306 and 6.347 Å, with angles of 90.00, 90.00 and 90.00 degrees. The asymmetric unit holds Mg at (0.000, 0.000, 0.000), Np at (0.000, 0.000, 0.500) and Os at (0.500, 0.500, 0.253).

Entry 3:
Material: UTl2Fe2S4
Method: DFT, PBE
State: relaxed

The value obtained for the formation energy (no corrections) is -0.6830 eV per atom. The calculation puts the density of states at the Fermi level at 0.476 states/eV per atom. Its density is 7.4 g cm⁻³.

The space group is C2/m (No. 12) and the conventional cell measures 13.858, 3.748 and 8.027 Å, with angles of 90.00, 107.28 and 90.00 degrees. The asymmetric unit holds U at (0.000, 0.000, 0.000), Tl at (0.140, 0.000, 0.571), Fe at (0.181, 0.500, 0.983), S at (0.026, 0.500, 0.775) and S at (0.199, 0.000, 0.171).

Entry 4:
Material: CrIn
Method: DFT, PBE
State: relaxed

The calculation puts the energy of formation from the pure elements at 334 meV per atom. The calculation puts the density of states at the Fermi level at 1.362 states/eV per atom. Its density is 7.9 g cm⁻³.

The space group is P4/nmm (No. 129, origin choice 2) and the conventional cell measures 2.992, 2.992 and 7.858 Å, with angles of 90.00, 90.00 and 90.00 degrees. The asymmetric unit holds Cr at (0.250, 0.250, 0.072) and In at (0.250, 0.250, 0.681).

Entry 5:
Material: MgAsSe2S
Method: DFT, PBE
State: relaxed

The value obtained for the formation energy (no corrections) is 0.3243 eV per atom. The calculation puts the relative energy among the computed polymorphs at 0 meV per atom. The calculation puts the density of states at the Fermi level at 1.044 states/eV per atom. Its density is 4.2 g cm⁻³.

The space group is P4/mmm (No. 123) and the conventional cell measures 4.869, 4.869 and 4.869 Å, with angles of 90.00, 90.00 and 90.00 degrees. The asymmetric unit holds Mg at (0.000, 0.000, 0.000), As at (0.500, 0.500, 0.000), Se at (0.000, 0.500, 0.500) and S at (0.500, 0.500, 0.500).

Entry 6:
Material: BaBeAs2
Method: DFT, PBE
State: relaxed

The calculation puts the energy of formation from the pure elements at 248 meV per atom. The calculation puts the density of states at the Fermi level at 0.551 states/eV per atom. Its density is 5.1 g cm⁻³.

The space group is I4/mmm (No. 139) and the conventional cell measures 4.506, 4.506 and 9.511 Å, with angles of 90.00, 90.00 and 90.00 degrees. The asymmetric unit holds Ba at (0.000, 0.000, 0.000), Be at (0.000, 0.000, 0.500) and As at (0.000, 0.500, 0.250).

Entry 7:
Material: Al3PCl
Method: DFT, PBE
State: relaxed

The value obtained for the formation energy (no corrections) is 0.3530 eV per atom. The calculation puts the relative energy among the computed polymorphs at 0 meV per atom. The calculation puts the density of states at the Fermi level at 0.446 states/eV per atom. Its density is 2.0 g cm⁻³.

The space group is Pm-3m (No. 221) and the conventional cell measures 4.934, 4.934 and 4.934 Å, with angles of 90.00, 90.00 and 90.00 degrees. The asymmetric unit holds Al at (0.000, 0.000, 0.500), P at (0.000, 0.000, 0.000) and Cl at (0.500, 0.500, 0.500).

Entry 8:
Material: EuDyAlGa
Method: DFT, PBE
State: relaxed

The calculation puts the energy of formation from the pure elements at -378 meV per atom. The calculation puts the density of states at the Fermi level at 1.112 states/eV per atom. Its density is 6.9 g cm⁻³.

The space group is F-43m (No. 216) and the conventional cell measures 7.342, 7.342 and 7.342 Å, with angles of 90.00, 90.00 and 90.00 degrees. The asymmetric unit holds Eu at (0.000, 0.000, 0.000), Dy at (0.000, 0.000, 0.500), Al at (0.250, 0.250, 0.750) and Ga at (0.250, 0.250, 0.250).